# SrTaFe2S, relaxed, DFT PBE-GGA
data_SrTaFe2S
_chemical_formula_sum 'Sr1 Ta1 Fe2 S1'
_cell_length_a 4.7198
_cell_length_b 4.7198
_cell_length_c 4.9085
_cell_angle_alpha 90.00
_cell_angle_beta 90.00
_cell_angle_gamma 90.00
_symmetry_space_group_name_H-M 'P 4/m m m'
_symmetry_Int_Tables_number 123
_symmetry_space_group_name_Hall '-P 4 2'
loop_
_atom_site_label
_atom_site_fract_x
_atom_site_fract_y
_atom_site_fract_z
Sr1 0.0000 0.0000 0.0000
Ta1 0.5000 0.5000 0.5000
Fe1 0.0000 0.5000 0.5000
S1 0.5000 0.5000 0.0000
# crystal system	tetragonal
# E_form (uncorrected)	367.9	meV/atom
# relative energy among the computed polymorphs	0	meV/atom
# DFT total energy	-32.748	eV for the cell shown
# total magnetization	3.82	μB/cell